Computed, not measured: an optimized crystal structure of CuPS2 at the GGA-PBE level of DFT.

Cell: 7.190 7.190 7.190 Å, 29.12 29.12 29.12°
Positions (direct):
Cu 0.000 0.000 0.000
P 0.500 0.500 0.500
S 0.103 0.103 0.103
S 0.897 0.897 0.897

## Properties
As for the crystal system: trigonal. The density of states at the Fermi level comes out at 0.00 states/eV/f.u. Its total energy is -4.333 eV/atom.